(1)
TaZnCo | SCAN | single point on PBEsol structure

Summary:
- Density: 12.5 g cm⁻³

a b c (Å): 2.9210 2.9210 9.5364
angles (deg): 90.00 90.00 90.00
With the nearest neighbours (Å) after each atom.
Space group I4mm (No. 107)
Unique sites:
Ta (0.0000, 0.0000, 0.0000) x2  4 Co 2.54, 4 Zn 2.80
Zn (0.0000, 0.0000, 0.6975) x2  4 Co 2.50, 4 Ta 2.80
Co (0.0000, 0.0000, 0.3452) x2  4 Zn 2.50, 4 Ta 2.54

(2)
ZrTaCo2 | SCAN | single point on PBEsol structure

Summary:
- Density: 11.2 g cm⁻³

a b c (Å): 3.6609 3.6609 8.6289
angles (deg): 90.00 90.00 90.00
With the nearest neighbours (Å) after each atom.
Space group I-4m2 (No. 119)
Unique sites:
Zr (0.0000, 0.0000, 0.0000) x2  8 Co 2.59-2.83, 4 Ta 2.83
Ta (0.0000, 0.5000, 0.7500) x2  8 Co 2.59-2.83, 4 Zr 2.83
Co (0.0000, 0.0000, 0.5000) x2  4 Zr 2.59, 4 Ta 2.83, 4 Co 2.83
Co (0.0000, 0.5000, 0.2500) x2  4 Ta 2.59, 4 Zr 2.83, 4 Co 2.83

(3)
ZrTa2Co | SCAN | single point on PBEsol structure

Summary:
- Density: 12.8 g cm⁻³

a b c (Å): 2.8860 4.3779 5.3377
angles (deg): 90.00 100.90 90.00
With the nearest neighbours (Å) after each atom.
Space group Pm (No. 6)
Unique sites:
Zr (0.0000, 0.0000, 0.0000) x1  2 Co 2.72, 4 Ta 2.74-2.83, 2 Zr 2.89
Ta (0.2627, 0.5000, 0.7226) x1  2 Co 2.67-2.90, 4 Ta 2.71-2.89, 2 Zr 2.83
Ta (0.5248, 0.0000, 0.4843) x1  2 Co 2.67, 4 Ta 2.71-2.89, 2 Zr 2.74-2.83
Co (0.7566, 0.5000, 0.2486) x1  4 Ta 2.67-2.90, 2 Zr 2.72, 2 Co 2.89

(4)
ZrTaCo2 | SCAN | single point on PBEsol structure

Summary:
- Density: 11.1 g cm⁻³

a b c (Å): 9.0973 2.8751 4.5279
angles (deg): 90.00 99.43 90.00
With the nearest neighbours (Å) after each atom.
Space group Cm (No. 8)
Unique sites:
Zr (0.0000, 0.0000, 0.0000) x2  7 Co 2.48-2.75
Ta (0.2744, 0.5000, 0.3693) x2  7 Co 2.55-2.84, 1 Zr 2.85
Co (0.0149, 0.5000, 0.5153) x2  3 Ta 2.55-2.61, 4 Zr 2.65-2.72, 2 Co 2.72
Co (0.2437, 0.0000, 0.8220) x2  3 Zr 2.48-2.75, 2 Ta 2.56, 2 Co 2.72

(5)
ZrTaCo2 | SCAN | single point on PBEsol structure

Summary:
- Density: 11.0 g cm⁻³

a b c (Å): 2.9813 2.9813 6.6042
angles (deg): 90.00 90.00 90.00
With the nearest neighbours (Å) after each atom.
Space group P4/mmm (No. 123)
Unique sites:
Zr (0.0000, 0.0000, 0.0000) x1  8 Co 2.84, 4 Zr 2.98
Ta (0.0000, 0.0000, 0.5000) x1  8 Co 2.53
Co (0.5000, 0.5000, 0.2883) x2  4 Ta 2.53, 1 Co 2.80

(6)
ZrTaCo | SCAN | single point on PBEsol structure

Summary:
- Density: 11.1 g cm⁻³

a b c (Å): 3.0553 3.0553 10.5661
angles (deg): 90.00 90.00 90.00
With the nearest neighbours (Å) after each atom.
Space group I4mm (No. 107)
Unique sites:
Zr (0.0000, 0.0000, 0.0000) x2  4 Co 2.87, 5 Ta 3.00-3.20, 4 Zr 3.06
Ta (0.0000, 0.0000, 0.6973) x2  4 Co 2.53
Co (0.0000, 0.0000, 0.3216) x2  4 Ta 2.53

(7)
ZrTaCo2 | SCAN | single point on PBEsol structure

Summary:
- Density: 11.1 g cm⁻³

a b c (Å): 3.9586 3.0788 9.5947
angles (deg): 90.00 90.00 90.00
With the nearest neighbours (Å) after each atom.
Space group Amm2 (No. 38)
Unique sites:
Zr (0.0000, 0.0000, 0.0000) x2  7 Co 2.56-2.72
Ta (0.5000, 0.0000, 0.7194) x2  7 Co 2.55-2.65
Co (0.0000, 0.0000, 0.2664) x2  4 Ta 2.55, 3 Zr 2.56-2.72, 2 Co 2.61
Co (0.5000, 0.0000, 0.4433) x2  4 Zr 2.57, 2 Co 2.61, 3 Ta 2.64-2.65

(8)
ZrTa2Co | SCAN | single point on PBEsol structure

Summary:
- Density: 13.3 g cm⁻³

a b c (Å): 6.3541 6.3541 6.3541
angles (deg): 90.00 90.00 90.00
With the nearest neighbours (Å) after each atom.
Space group Fm-3m (No. 225)
Unique sites:
Zr (0.0000, 0.0000, 0.0000) x4  8 Ta 2.75
Ta (0.2500, 0.2500, 0.2500) x8  4 Zr 2.75, 4 Co 2.75
Co (0.0000, 0.0000, 0.5000) x4  8 Ta 2.75

(9)
Tb4Co3 | SCAN | single point on PBEsol structure

Summary:
- Density: 9.6 g cm⁻³

a b c (Å): 11.1005 11.1005 3.9529
angles (deg): 90.00 90.00 120.00
With the nearest neighbours (Å) after each atom.
Space group P-3 (No. 147)
Unique sites:
Tb (0.0282, 0.7817, 0.2489) x6  4 Co 2.73-3.05
Tb (0.1347, 0.5145, 0.2522) x6  7 Co 2.80-2.98
Co (0.0000, 0.0000, 0.5000) x1  6 Tb 2.78
Co (0.1584, 0.7203, 0.7485) x6  1 Co 2.30
Co (0.3333, 0.6667, 0.7546) x2  3 Co 2.30

(10)
Tb3Co | SCAN | single point on PBEsol structure

Summary:
- Density: 9.2 g cm⁻³

a b c (Å): 6.8135 9.3332 6.1098
angles (deg): 90.00 90.00 90.00
With the nearest neighbours (Å) after each atom.
Space group Pnma (No. 62)
Unique sites:
Tb (0.0423, 0.2500, 0.1422) x4  2 Co 2.63-2.73
Tb (0.1735, 0.0676, 0.6758) x8  2 Co 2.70-2.78
Co (0.1139, 0.7500, 0.4464) x4  6 Tb 2.63-2.78

(11)
Tb12Co7 | SCAN | single point on PBEsol structure

Summary:
- Density: 9.6 g cm⁻³

a b c (Å): 8.1469 11.1007 10.8447
angles (deg): 90.00 125.46 90.00
With the nearest neighbours (Å) after each atom.
Space group P2_1/c (No. 14)
Unique sites:
Tb (0.0043, 0.1615, 0.3413) x4  4 Co 2.68-2.98
Tb (0.2408, 0.5694, 0.8113) x4  4 Co 2.70-2.97
Tb (0.2535, 0.1987, 0.1764) x4  4 Co 2.72-2.97
Tb (0.2653, 0.7056, 0.5403) x4  5 Co 2.81-3.06
Tb (0.2664, 0.0687, 0.9136) x4  4 Co 2.77-2.94
Tb (0.3410, 0.5028, 0.1460) x4  4 Co 2.73-3.00
Co (0.0000, 0.0000, 0.0000) x2  8 Tb 2.86-3.00
Co (0.0037, 0.1002, 0.5990) x4  8 Tb 2.70-2.98
Co (0.3981, 0.6829, 0.3432) x4  1 Co 2.25
Co (0.4071, 0.1805, 0.4753) x4  1 Co 2.25

(12)
TbCo5 | SCAN | single point on PBEsol structure

Summary:
- Density: 9.6 g cm⁻³

a b c (Å): 4.8331 4.8331 3.8889
angles (deg): 90.00 90.00 120.00
With the nearest neighbours (Å) after each atom.
Space group P6/mmm (No. 191)
Unique sites:
Tb (0.0000, 0.0000, 0.0000) x1  18 Co 2.79-3.10
Co (0.0000, 0.5000, 0.5000) x3  8 Co 2.39-2.42
Co (0.3333, 0.6667, 0.0000) x2  6 Co 2.39

no.,volume (Å³ per cell),DOS(E_F) (states/eV per atom),energy of formation from the pure elements (eV/atom)
1,81.4,0.8644,0.02
2,115.6,0.7566,0.07
3,66.2,0.9431,0.20
4,116.8,1.0510,0.08
5,58.7,0.7555,-0.22
6,98.6,0.5160,-0.14
7,116.9,0.7081,-0.20
8,256.5,0.9214,0.26
9,421.8,0.6700,-0.05
10,388.5,0.9678,-0.10
11,798.8,0.7033,-0.09
12,78.7,1.1546,-0.06